DFT (PBE-GGA) results for Pm6Al2O after structural relaxation.

a = 6.9761 Å, b = 6.9761 Å, c = 6.9761 Å
α = 60.00°, β = 60.00°, γ = 60.00°
With the nearest neighbours (Å) after each atom.
Fractional positions:
Pm  0.2476  0.2476  0.7524  1 O 2.44
Pm  0.2476  0.7524  0.2476  1 O 2.44
Pm  0.2476  0.7524  0.7524  1 O 2.44
Pm  0.7524  0.2476  0.2476  1 O 2.44
Pm  0.7524  0.2476  0.7524  1 O 2.44
Pm  0.7524  0.7524  0.2476  1 O 2.44
Al  0.2500  0.2500  0.2500  12 Pm 3.49
Al  0.7500  0.7500  0.7500  12 Pm 3.49
O  0.0000  0.0000  0.0000  6 Pm 2.44

Calculated values
Calculated total energy ... -5.2868 eV/atom
Formation energy (no corrections) ... -0.74 eV per atom
M_tot ... 0.0 μB per cell

DFT (PBE-GGA) results for LaTi2NiN4 after structural relaxation.

a = 5.5882 Å, b = 5.5882 Å, c = 10.7004 Å
α = 90.00°, β = 90.00°, γ = 146.95°
With the nearest neighbours (Å) after each atom.
Fractional positions:
La  0.1035  0.8965  0.7500  6 N 2.43-2.62
La  0.8965  0.1035  0.2500  6 N 2.43-2.62
Ti  0.3661  0.6339  0.5492  3 N 1.97-2.20
Ti  0.3661  0.6339  0.9508  3 N 1.97-2.20
Ti  0.6339  0.3661  0.0492  3 N 1.97-2.20
Ti  0.6339  0.3661  0.4508  3 N 1.97-2.20
Ni  0.1613  0.8387  0.2500  4 N 1.88-1.91
Ni  0.8387  0.1613  0.7500  4 N 1.88-1.91
N  0.0000  0.0000  0.0000  4 Ti 2.20
N  0.0000  0.0000  0.5000  4 Ti 2.20
N  0.2661  0.7339  0.1053  1 Ni 1.91, 1 Ti 1.97
N  0.2661  0.7339  0.3947  1 Ni 1.91, 1 Ti 1.97
N  0.4319  0.5681  0.7500  2 Ni 1.88
N  0.5681  0.4319  0.2500  2 Ni 1.88
N  0.7339  0.2661  0.6053  1 Ni 1.91, 1 Ti 1.97
N  0.7339  0.2661  0.8947  1 Ni 1.91, 1 Ti 1.97

Calculated values
Calculated total energy ... -8.5983 eV/atom
Formation energy (no corrections) ... -1.12 eV per atom
M_tot ... 0.0 μB per cell

DFT (PBE-GGA) results for ThOsC after structural relaxation.

a = 6.3018 Å, b = 5.9466 Å, c = 3.1868 Å
α = 81.19°, β = 68.83°, γ = 29.98°
With the nearest neighbours (Å) after each atom.
Fractional positions:
Th  0.0000  0.0000  0.0000  2 C 2.63
Os  0.2640  0.2640  0.7360  2 C 1.98
C  0.6753  0.6753  0.3247  2 Os 1.98

Calculated values
Distance to the lowest polymorph of the same formula ... 965 meV per atom
Calculated total energy ... -8.5668 eV/atom
M_tot ... 0.0 μB per cell

DFT (PBE-GGA) results for ThMnSe2 after structural relaxation.

a = 8.7827 Å, b = 8.7827 Å, c = 8.7827 Å
α = 25.49°, β = 25.49°, γ = 25.49°
With the nearest neighbours (Å) after each atom.
Fractional positions:
Th  0.0000  0.0000  0.0000  2 Se 2.82
Mn  0.5000  0.5000  0.5000  6 Se 2.65
Se  0.1106  0.1106  0.1106  3 Mn 2.65, 1 Th 2.82
Se  0.8894  0.8894  0.8894  3 Mn 2.65, 1 Th 2.82

Calculated values
Calculated total energy ... -6.3187 eV/atom
Formation energy (no corrections) ... -0.43 eV per atom
M_tot ... 5.1 μB per cell

DFT (PBE-GGA) results for Ho3AlNi8 after structural relaxation.

a = 5.0492 Å, b = 5.0492 Å, c = 16.0192 Å
α = 90.00°, β = 90.00°, γ = 120.00°
With the nearest neighbours (Å) after each atom.
Fractional positions:
Ho  0.3333  0.6667  0.0449  9 Ni 2.83-3.08, 3 Al 3.00
Ho  0.3333  0.6667  0.2500  18 Ni 2.92-3.22
Ho  0.3333  0.6667  0.4551  9 Ni 2.83-3.08, 3 Al 3.00
Ho  0.6667  0.3333  0.5449  9 Ni 2.83-3.08, 3 Al 3.00
Ho  0.6667  0.3333  0.7500  18 Ni 2.92-3.22
Ho  0.6667  0.3333  0.9551  9 Ni 2.83-3.08, 3 Al 3.00
Al  0.0000  0.0000  0.0000  6 Ni 2.49
Al  0.0000  0.0000  0.5000  6 Ni 2.49
Ni  0.0000  0.0000  0.2500  6 Ni 2.49
Ni  0.0000  0.0000  0.7500  6 Ni 2.49
Ni  0.1690  0.3380  0.6252  6 Ni 2.46-2.56, 1 Al 2.49
Ni  0.1690  0.3380  0.8748  6 Ni 2.46-2.56, 1 Al 2.49
Ni  0.1690  0.8310  0.6252  6 Ni 2.46-2.56, 1 Al 2.49
Ni  0.1690  0.8310  0.8748  6 Ni 2.46-2.56, 1 Al 2.49
Ni  0.3333  0.6667  0.7500  6 Ni 2.46
Ni  0.3380  0.1690  0.1252  6 Ni 2.46-2.56, 1 Al 2.49
Ni  0.3380  0.1690  0.3748  6 Ni 2.46-2.56, 1 Al 2.49
Ni  0.6620  0.8310  0.6252  6 Ni 2.46-2.56, 1 Al 2.49
Ni  0.6620  0.8310  0.8748  6 Ni 2.46-2.56, 1 Al 2.49
Ni  0.6667  0.3333  0.2500  6 Ni 2.46
Ni  0.8310  0.1690  0.1252  6 Ni 2.46-2.56, 1 Al 2.49
Ni  0.8310  0.1690  0.3748  6 Ni 2.46-2.56, 1 Al 2.49
Ni  0.8310  0.6620  0.1252  6 Ni 2.46-2.56, 1 Al 2.49
Ni  0.8310  0.6620  0.3748  6 Ni 2.46-2.56, 1 Al 2.49

Calculated values
Distance to the lowest polymorph of the same formula ... 0 meV per atom
Calculated total energy ... -5.7759 eV/atom
M_tot ... 0.0 μB per cell

DFT (PBE-GGA) results for BaPm2NpN4 after structural relaxation.

a = 6.9995 Å, b = 6.9995 Å, c = 12.6672 Å
α = 90.00°, β = 90.00°, γ = 149.57°
With the nearest neighbours (Å) after each atom.
Fractional positions:
Ba  0.0316  0.9684  0.7500  2 N 2.82
Ba  0.9684  0.0316  0.2500  2 N 2.82
Pm  0.3718  0.6282  0.5325  5 N 2.41-2.56
Pm  0.3718  0.6282  0.9675  5 N 2.41-2.56
Pm  0.6282  0.3718  0.0325  5 N 2.41-2.56
Pm  0.6282  0.3718  0.4675  5 N 2.41-2.56
Np  0.2284  0.7716  0.2500  2 N 1.95
Np  0.7716  0.2284  0.7500  2 N 1.95
N  0.0000  0.0000  0.0000  4 Pm 2.56
N  0.0000  0.0000  0.5000  4 Pm 2.56
N  0.2411  0.7589  0.0964  1 Np 1.95
N  0.2411  0.7589  0.4036  1 Np 1.95
N  0.3734  0.6266  0.7500  2 Np 2.29
N  0.6266  0.3734  0.2500  2 Np 2.29
N  0.7589  0.2411  0.5964  1 Np 1.95
N  0.7589  0.2411  0.9036  1 Np 1.95

Calculated values
Calculated total energy ... -8.2145 eV/atom
Formation energy (no corrections) ... -1.01 eV per atom
M_tot ... 5.8 μB per cell

DFT (PBE-GGA) results for KRb2NaTe after structural relaxation.

a = 7.2549 Å, b = 7.2549 Å, c = 6.0233 Å
α = 90.00°, β = 90.00°, γ = 90.00°
With the nearest neighbours (Å) after each atom.
Fractional positions:
K  0.0000  0.0000  0.0000  8 Rb 4.71, 4 Na 5.13
Rb  0.0000  0.5000  0.5000  2 Te 3.63
Rb  0.5000  0.0000  0.5000  2 Te 3.63
Na  0.5000  0.5000  0.0000  2 Te 3.01
Te  0.5000  0.5000  0.5000  2 Na 3.01

Calculated values
Distance to the lowest polymorph of the same formula ... 34 meV per atom
Calculated total energy ... -1.9603 eV/atom
Formation energy (no corrections) ... -0.46 eV per atom
M_tot ... 0.0 μB per cell

DFT (PBE-GGA) results for MgRuPt2 after structural relaxation.

a = 4.8082 Å, b = 4.8082 Å, c = 4.8082 Å
α = 131.54°, β = 131.54°, γ = 70.95°
With the nearest neighbours (Å) after each atom.
Fractional positions:
Mg  0.0000  0.0000  0.0000  4 Ru 2.78, 8 Pt 2.78-2.79
Ru  0.7500  0.2500  0.5000  4 Mg 2.78, 8 Pt 2.78-2.79
Pt  0.2500  0.7500  0.5000  4 Pt 2.78, 4 Mg 2.78, 4 Ru 2.79
Pt  0.5000  0.5000  0.0000  4 Pt 2.78, 4 Ru 2.78, 4 Mg 2.79

Calculated values
Calculated total energy ... -5.9984 eV/atom
M_tot ... 0.0 μB per cell

DFT (PBE-GGA) results for Pm3SnBr3 after structural relaxation.

a = 11.7053 Å, b = 11.7053 Å, c = 11.7053 Å
α = 36.57°, β = 36.57°, γ = 36.57°
With the nearest neighbours (Å) after each atom.
Fractional positions:
Pm  0.0550  0.3842  0.7259  3 Br 3.01-3.03, 2 Sn 3.05
Pm  0.2741  0.9450  0.6158  3 Br 3.01-3.03, 2 Sn 3.05
Pm  0.3842  0.7259  0.0550  3 Br 3.01-3.03, 2 Sn 3.05
Pm  0.6158  0.2741  0.9450  3 Br 3.01-3.03, 2 Sn 3.05
Pm  0.7259  0.0550  0.3842  3 Br 3.01-3.03, 2 Sn 3.05
Pm  0.9450  0.6158  0.2741  3 Br 3.01-3.03, 2 Sn 3.05
Sn  0.3333  0.3333  0.3333  6 Pm 3.05
Sn  0.6667  0.6667  0.6667  6 Pm 3.05
Br  0.1094  0.7701  0.4485  3 Pm 3.01-3.03
Br  0.2299  0.5515  0.8906  3 Pm 3.01-3.03
Br  0.4485  0.1094  0.7701  3 Pm 3.01-3.03
Br  0.5515  0.8906  0.2299  3 Pm 3.01-3.03
Br  0.7701  0.4485  0.1094  3 Pm 3.01-3.03
Br  0.8906  0.2299  0.5515  3 Pm 3.01-3.03

Calculated values
Calculated total energy ... -4.5992 eV/atom
Formation energy (no corrections) ... -1.27 eV per atom
M_tot ... 0.0 μB per cell